VASP calculation (PBE with a Hubbard U) on crystalline LiHfFe2O6 at its relaxed geometry.

Lattice parameters (Å, degrees): 5.141 5.163 5.488 90.48 117.72 119.77
Element x y z (fractional)
1 Li 0.000 0.000 0.000
2 Hf 0.982 0.490 0.481
3 Fe 0.567 0.284 0.854
4 Fe 0.578 0.791 0.369
5 O 0.072 0.169 0.642
6 O 0.085 0.430 0.156
7 O 0.466 0.903 0.635
8 O 0.496 0.068 0.155
9 O 0.721 0.660 0.159
10 O 0.729 0.564 0.640

total moment: 6.987 μB/cell
symmetry: No. 1
calculated volume: 10.635 Å³/atom
E_tot: -7.222 eV/atom